Here is crystalline Li6V3P8O29 at its relaxed geometry from Alexandria via LeMat-Bulk. Energies are from GGA+U.

```
92
Lattice="-5.823 -1.387 -7.729 -7.823 -5.878 0.788 -7.459 11.128 4.257" Properties=species:S:1:pos:R:3 pbc="T T T"
Li -9.262 9.182 3.506
O -9.856 1.917 2.786
P -10.970 7.278 1.286
O -14.110 4.476 1.565
O -7.908 1.103 -2.154
O -11.600 3.193 1.519
Li -11.671 8.980 -0.913
O -7.536 6.259 0.060
O -8.039 3.391 -4.599
O -13.050 5.399 4.483
Li -12.615 -5.878 -6.801
O -7.680 -1.724 -1.777
P -6.758 6.595 1.365
O -10.795 2.151 -5.575
O -7.363 5.800 2.539
O -3.333 1.031 -1.238
V -8.525 -0.589 -3.000
Li -9.467 -4.997 -1.509
P -14.383 -2.733 -3.969
P -10.526 -1.114 -0.464
O -9.337 -2.031 0.119
O -17.760 2.705 -1.383
O -7.450 0.517 0.288
O -13.195 7.890 -1.598
O -10.615 -3.530 -2.625
V -14.893 4.521 -4.091
O -12.675 1.386 -2.604
P -7.374 1.667 -0.795
O -11.907 6.019 1.329
O -10.602 3.839 -3.159
P -10.051 -3.356 -4.062
O -10.962 4.525 -0.729
O -16.372 4.290 -2.793
O -5.875 2.017 -0.989
O -11.550 -0.274 -5.349
Li -12.041 1.428 0.659
P -7.929 -2.545 -0.480
V -4.506 2.264 -2.312
O -10.024 7.076 0.049
P -10.629 4.980 -2.178
O -6.971 -0.632 -4.235
O -9.516 0.633 -4.099
O -13.116 2.822 -0.524
O -4.901 -0.370 -5.625
Li -9.077 0.728 1.542
P -13.248 6.457 -2.045
O -15.059 1.693 -1.610
O -3.546 1.652 1.168
O -2.332 -0.491 0.497
P -3.512 0.391 0.154
O -9.645 4.454 2.495
P -10.579 3.209 2.679
P -10.386 0.714 -5.392
O -10.035 7.184 2.563
O -14.220 -4.279 -4.464
O -9.313 -4.583 -4.524
V -12.555 4.511 0.413
O -8.017 -4.030 -0.674
P -17.631 3.343 -2.792
O -11.681 8.580 1.147
O -11.801 6.021 -2.614
O -11.262 -3.011 -5.011
O -15.949 3.237 0.433
O -16.349 4.252 2.745
V -16.474 1.508 -0.413
O -9.304 5.752 -2.124
V -6.299 -0.533 1.494
Li -15.871 5.016 -0.862
Li -7.405 -2.189 -5.435
O -13.635 5.474 -0.901
Li -3.824 5.188 1.876
O -17.256 2.079 -3.720
P -13.629 2.292 -1.906
O -6.863 -2.228 0.572
O -13.097 0.537 2.030
P -5.769 0.291 -4.585
O -9.087 -2.114 -4.125
Li -9.084 2.496 -3.212
O -4.841 -0.376 0.257
O -7.063 8.134 1.748
O -5.024 0.713 -3.305
O -13.866 3.526 -2.876
O -10.756 -0.060 0.605
O -10.096 -0.586 -1.822
O -13.803 -1.906 -5.128
O -13.538 -2.602 -2.692
Li -8.770 4.528 0.171
O -11.747 -2.053 -0.609
O -8.223 2.828 -0.346
O -14.265 6.252 -3.190
P -15.351 3.615 1.818
Li -12.040 2.853 -4.135
```

density: 2.57 g/cm³
symmetry: P1, No. 1
relative energy among the computed polymorphs: 4 meV per atom